Entry from Alexandria: a relaxed YZnAu3 crystal (PBE-GGA).

Structure (CIF):
```
data_YZnAu3
_chemical_formula_sum 'Y1 Zn1 Au3'
_symmetry_space_group_name_H-M 'P m -3 m'
_symmetry_Int_Tables_number 221
_symmetry_space_group_name_Hall '-P 4 2 3'
_cell_length_a 5.545
_cell_length_b 5.545
_cell_length_c 5.545
_cell_angle_alpha 90.00
_cell_angle_beta 90.00
_cell_angle_gamma 90.00
loop_
_atom_site_label
_atom_site_fract_x
_atom_site_fract_y
_atom_site_fract_z
Y1 0.000 0.000 0.000
Zn1 0.500 0.500 0.500
Au1 0.000 0.000 0.500
```

Results
The value obtained for the formation energy from the elements is 0.44 eV/atom. The excess energy over the best structure of this formula in the dataset is 0.978 eV/atom.


Entry from Alexandria: a relaxed YZnAu2 crystal (PBE-GGA).

Structure (CIF):
```
data_YZnAu2
_chemical_formula_sum 'Y1 Zn1 Au2'
_symmetry_space_group_name_H-M 'P 1 m 1'
_symmetry_Int_Tables_number 6
_cell_length_a 3.487
_cell_length_b 4.758
_cell_length_c 5.200
_cell_angle_alpha 90.00
_cell_angle_beta 90.08
_cell_angle_gamma 90.00
loop_
_symmetry_equiv_pos_as_xyz
'x,y,z'
'x,-y,z'
loop_
_atom_site_label
_atom_site_fract_x
_atom_site_fract_y
_atom_site_fract_z
Y1 0.000 0.000 0.000
Zn1 0.502 0.500 0.301
Au1 0.499 0.500 0.806
Au2 0.500 0.000 0.496
```

Results
The value obtained for the formation energy from the elements is -0.53 eV/atom.


Entry from Alexandria: a relaxed Y2Zn3Au4 crystal (PBE-GGA).

Structure (CIF):
```
data_Y2Zn3Au4
_chemical_formula_sum 'Y8 Zn12 Au16'
_symmetry_space_group_name_H-M 'C m c e'
_symmetry_Int_Tables_number 64
_symmetry_space_group_name_Hall '-C 2ac 2'
_cell_length_a 5.719
_cell_length_b 15.324
_cell_length_c 8.046
_cell_angle_alpha 90.00
_cell_angle_beta 90.00
_cell_angle_gamma 90.00
loop_
_atom_site_label
_atom_site_fract_x
_atom_site_fract_y
_atom_site_fract_z
Y1 0.000 0.113 0.088
Zn1 0.000 0.000 0.500
Zn2 0.250 0.224 0.750
Au1 0.000 0.184 0.470
Au2 0.250 0.050 0.750
```

Results
The value obtained for the formation energy from the elements is -0.58 eV/atom.